Entry 1:
Below is a relaxed structure of AcTb6Pm2Ho, with properties calculated at the GGA-PBE level.

Results
- E_tot: -89.42 eV for the cell shown
- Energy of formation from the pure elements: 0.13 eV/atom
- Symmetry: C2/c, No. 15

```
20
Lattice="4.6081 -7.7076 0.0000 4.6081 7.7076 0.0000 -0.9621 0.0000 9.5954" Properties=species:S:1:pos:R:3 pbc="T T T"
Ac 3.8865 7.3224 7.1965
Ac 4.3675 -7.3224 2.3988
Tb 2.0160 4.1940 6.5764
Tb 3.9960 4.7295 0.5536
Tb 4.7391 4.7295 4.2441
Tb 2.8028 1.6596 8.4756
Tb 5.7570 4.1940 7.8167
Tb 4.9703 1.6596 5.9174
Tb 3.2838 -1.6596 3.6779
Tb 2.4970 -4.1940 1.7787
Tb 5.4513 -1.6596 1.1198
Tb 3.5149 -4.7295 5.3512
Tb 4.2581 -4.7295 9.0418
Tb 6.2381 -4.1940 3.0190
Pm 1.8438 0.8963 5.2459
Pm 2.3248 -0.8963 0.4482
Pm 5.9293 0.8963 9.1471
Pm 6.4103 -0.8963 4.3494
Ho 4.3675 1.3762 2.3988
Ho 3.8865 -1.3762 7.1965
```

=====

Entry 2:
Below is a relaxed structure of AcTb4Pm2Ho, with properties calculated at the GGA-PBE level.

Results
- E_tot: -36.44 eV for the cell shown
- Energy of formation from the pure elements: 0.03 eV/atom
- Symmetry: Pmmm, No. 47

```
8
Lattice="5.1319 0.0000 0.0000 0.0000 5.1548 0.0000 0.0000 0.0000 10.2342" Properties=species:S:1:pos:R:3 pbc="T T T"
Ac 0.0000 0.0000 0.0000
Tb 0.0000 2.5774 2.6411
Tb 0.0000 2.5774 7.5931
Tb 2.5659 0.0000 2.6389
Tb 2.5659 0.0000 7.5953
Pm 0.0000 0.0000 5.1171
Pm 2.5659 2.5774 0.0000
Ho 2.5659 2.5774 5.1171
```